Entry 1:
Here is a relaxed structure of Ce3PrAl8 from the Alexandria database. Energies are from PBE-GGA.

The structure belongs to space group R3m (No. 160, hexagonal axes); the cell edges are 5.6501, 5.6501 and 27.6015 Å and the angles 90.00°, 90.00° and 120.00°. Symmetry generates all atoms from Ce at (0.0000, 0.0000, 0.0000), Ce at (0.0000, 0.0000, 0.1222), Ce at (0.0000, 0.0000, 0.6261), Pr at (0.0000, 0.0000, 0.4993), Al at (0.0000, 0.0000, 0.3118), Al at (0.0000, 0.0000, 0.8118), Al at (0.9997, 0.4998, 0.5623) and Al at (0.1672, 0.3343, 0.3951).

For the calculated formation energy, the calculation gives -533.8 kJ/mol of formula units. The magnetization comes out at 7.87 μB/cell. The energy above the most stable polymorph in this dataset comes out at 0.000 eV per atom. As for the raw total energy: -174.2 eV/cell.



Entry 2:
Here is a relaxed structure of Nd6TlTe3Se2 from the Alexandria database. Energies are from PBE-GGA.

The structure belongs to space group C2/m (No. 12); the cell edges are 19.414, 4.342 and 9.002 Å and the angles 90.00°, 104.65° and 90.00°. Symmetry generates all atoms from Nd at (0.006, 0.000, 0.251), Nd at (0.166, 0.500, 0.100), Nd at (0.173, 0.500, 0.568), Tl at (0.000, 0.500, 0.000), Te at (0.000, 0.500, 0.500), Te at (0.165, 0.000, 0.830) and Se at (0.168, 0.000, 0.334).

The magnetization comes out at 0.00 μB/cell. The value obtained for the raw formation energy is -1390 meV per atom. As for the raw total energy: -128.1 eV/cell.



Entry 3:
Here is a relaxed structure of VBPt3 from the Alexandria database. Energies are from PBE-GGA.

The structure belongs to space group Pm-3m (No. 221); the cell edges are 4.634, 4.634 and 4.634 Å and the angles 90.00°, 90.00° and 90.00°. Symmetry generates all atoms from V at (0.000, 0.000, 0.000), B at (0.500, 0.500, 0.500) and Pt at (0.000, 0.000, 0.500).

For the calculated formation energy, the calculation gives 770.5 kJ/mol of formula units. The magnetization comes out at 0.00 μB/cell. As for the raw total energy: -25.9 eV/cell.



Entry 4:
Here is a relaxed structure of Ta2TlHg from the Alexandria database. Energies are from PBE-GGA.

The structure belongs to space group P4/mmm (No. 123); the cell edges are 4.171, 4.171 and 4.521 Å and the angles 90.00°, 90.00° and 90.00°. Symmetry generates all atoms from Ta at (0.000, 0.500, 0.000), Tl at (0.000, 0.000, 0.500) and Hg at (0.500, 0.500, 0.500).

For the calculated formation energy, the calculation gives 191.0 kJ/mol of formula units. The magnetization comes out at 0.00 μB/cell. As for the raw total energy: -24.4 eV/cell.



no.,DOS(E_F) (states/eV/atom),density (Mg/m³)
1,1.514,5.1
2,0.479,7.3
3,0.710,10.8
4,0.299,16.2